Here is a geometry-optimized SrV2PtO8 structure from the Alexandria database. Energies are from PBE+U.

abc: 5.5974 5.5974 6.8886
angles: 90.00 90.00 120.00
Space group P-3m1 (No. 164)
Asymmetric unit:
1 Sr 0.0000 0.0000 0.0000 [1 per cell]
2 V 0.3333 0.6667 0.2475 [2 per cell]
3 Pt 0.0000 0.0000 0.5000 [1 per cell]
4 O 0.1576 0.3151 0.3140 [6 per cell]
5 O 0.3333 0.6667 0.0054 [2 per cell]

Computed properties:
E_tot ... -6.917 eV per atom
Fermi-level density of states ... 0.00 states/eV per cell